VASP calculation (GGA-PBE) on an optimized crystal structure of SrPrHgPb.

Lattice parameters (Å, degrees): 5.640 5.640 5.640 60.00 60.00 60.00
Fractional positions:
Pb1 0.500 0.500 0.500
Sr1 0.250 0.250 0.250
Hg1 0.000 0.000 0.000
Pr1 0.750 0.750 0.750

Properties
* energy above the most stable polymorph in this dataset: 12 meV per atom

VASP calculation (GGA-PBE) on an optimized crystal structure of SrPrHgPb.

Lattice parameters (Å, degrees): 3.940 3.940 8.175 90.00 90.00 90.00
Fractional positions:
Hg1 0.500 0.500 0.594
Pr1 0.000 0.000 0.368
Pb1 0.500 0.500 0.118
Sr1 0.000 0.000 0.847

Properties
* energy above the most stable polymorph in this dataset: 0 meV per atom

VASP calculation (GGA-PBE) on an optimized crystal structure of Pr6HgTe3Pb2.

Lattice parameters (Å, degrees): 4.546 9.182 10.328 106.48 102.71 90.00
Fractional positions:
Pr1 0.334 0.920 0.667
Pr2 0.668 0.576 0.337
Pr3 0.997 0.252 0.995
Pr4 0.332 0.424 0.663
Pr5 0.666 0.080 0.333
Pr6 0.003 0.748 0.005
Te1 0.831 0.170 0.663
Te2 0.169 0.830 0.337
Te3 0.500 0.500 0.000
Hg1 0.500 0.000 0.000
Pb1 0.163 0.324 0.326
Pb2 0.837 0.676 0.674

Properties
* raw formation energy: -993 meV/atom

VASP calculation (GGA-PBE) on an optimized crystal structure of PrThHgPb.

Lattice parameters (Å, degrees): 5.517 5.517 5.517 60.00 60.00 60.00
Fractional positions:
Pb1 0.750 0.750 0.750
Pr1 0.500 0.500 0.500
Th1 0.000 0.000 0.000
Hg1 0.250 0.250 0.250

Properties
* energy: -4.379 eV/atom

VASP calculation (GGA-PBE) on an optimized crystal structure of PrTlHgPb.

Lattice parameters (Å, degrees): 4.741 4.938 4.792 90.00 90.00 90.00
Fractional positions:
Pr1 0.500 0.500 0.000
Tl1 0.000 0.000 0.000
Hg1 0.500 0.000 0.500
Pb1 0.000 0.500 0.500

Properties
* energy above the most stable polymorph in this dataset: 0 meV per atom

VASP calculation (GGA-PBE) on an optimized crystal structure of Pr2TlHg4Pb2.

Lattice parameters (Å, degrees): 7.448 7.448 7.448 83.36 123.91 123.91
Fractional positions:
Pr1 0.000 0.282 0.282
Pr2 0.000 0.718 0.718
Hg1 0.567 0.284 0.284
Hg2 0.000 0.716 0.284
Hg3 0.000 0.284 0.716
Hg4 0.433 0.716 0.716
Tl1 0.000 0.000 0.000
Pb1 0.500 0.750 0.250
Pb2 0.500 0.250 0.750

Properties
* energy: -2.402 eV/atom

VASP calculation (GGA-PBE) on an optimized crystal structure of PrTlHgPb.

Lattice parameters (Å, degrees): 5.477 5.477 5.477 60.00 60.00 60.00
Fractional positions:
Pb1 0.750 0.750 0.750
Pr1 0.250 0.250 0.250
Hg1 0.500 0.500 0.500
Tl1 0.000 0.000 0.000

Properties
* energy above the most stable polymorph in this dataset: 128 meV per atom

VASP calculation (GGA-PBE) on an optimized crystal structure of PrTmHgPb.

Lattice parameters (Å, degrees): 5.411 5.411 5.411 60.00 60.00 60.00
Fractional positions:
Tm1 0.000 0.000 0.000
Hg1 0.750 0.750 0.750
Pb1 0.250 0.250 0.250
Pr1 0.500 0.500 0.500

Properties
* energy above the most stable polymorph in this dataset: 16 meV per atom

Let's list density in order: 8.3, 8.3, 7.6, 10.9, 11.1, 10.4, 10.8, 10.6 Mg/m³.